# Cr2CuNiO

A relaxed structure of Cr2CuNiO (GGA+U, the Alexandria database).

a b c (Å): 4.0927 4.0337 4.0927
angles (deg): 90.00 90.00 90.00
Closest atoms and distances in Å follow each position.
Positions (direct):
1 Ni 0.0000 0.5000 0.0000  2 O 2.02
2 O 0.0000 0.0000 0.0000  2 Ni 2.02, 4 Cr 2.05
3 Cu 0.5000 0.5000 0.5000  8 Cr 2.87, 4 Ni 2.89
4 Cr 0.0000 0.0000 0.5000  2 O 2.05
5 Cr 0.5000 0.0000 0.0000  2 O 2.05

## Properties
Density of states at the Fermi level (states/eV/f.u.): 1.9
VASP energy (eV per cell): -27.1